Record 1
# SmAl2IrO8 (PBE-GGA, relaxed)
# **ΔE_f (raw)**: -1988 meV per atom
# **Total moment**: 0.10 μB/atom
data_SmAl2IrO8
_symmetry_space_group_name_H-M 'P 1 2/m 1'
_symmetry_Int_Tables_number 10
_cell_length_a 4.623
_cell_length_b 6.325
_cell_length_c 4.640
_cell_angle_alpha 90.00
_cell_angle_beta 90.62
_cell_angle_gamma 90.00
loop_
_symmetry_equiv_pos_as_xyz
'x,y,z'
'-x,-y,-z'
'-x,y,-z'
'x,-y,z'
loop_
_atom_site_label
_atom_site_fract_x
_atom_site_fract_y
_atom_site_fract_z
_atom_site_occupancy
Sm1 0.000 0.000 0.000 1
Al1 0.500 0.257 0.500 1
Ir1 0.000 0.500 0.000 1
O1 0.217 0.288 0.212 1
O2 0.297 0.500 0.699 1
O3 0.333 0.000 0.661 1

---

Record 2
# SmAlIrO6 (PBE-GGA, relaxed)
# **ΔE_f (raw)**: -2069 meV per atom
# **Total moment**: 0.31 μB/atom
data_SmAlIrO6
_symmetry_space_group_name_H-M 'P -3 1 c'
_symmetry_Int_Tables_number 163
_symmetry_space_group_name_Hall '-P 3 2c'
_cell_length_a 5.0878
_cell_length_b 5.0878
_cell_length_c 10.0838
_cell_angle_alpha 90.00
_cell_angle_beta 90.00
_cell_angle_gamma 120.00
loop_
_atom_site_label
_atom_site_fract_x
_atom_site_fract_y
_atom_site_fract_z
_atom_site_occupancy
Sm1 0.0000 0.0000 0.0000 1
Al1 0.3333 0.6667 0.2500 1
Ir1 0.3333 0.6667 0.7500 1
O1 0.0053 0.3689 0.1447 1

---

Record 3
# AlSnIrO6 (PBE-GGA, relaxed)
# **ΔE_f (raw)**: -1577 meV per atom
# **Total moment**: 0.20 μB/atom
data_AlSnIrO6
_symmetry_space_group_name_H-M 'P -3 1 c'
_symmetry_Int_Tables_number 163
_symmetry_space_group_name_Hall '-P 3 2c'
_cell_length_a 5.0374
_cell_length_b 5.0374
_cell_length_c 8.9185
_cell_angle_alpha 90.00
_cell_angle_beta 90.00
_cell_angle_gamma 120.00
loop_
_atom_site_label
_atom_site_fract_x
_atom_site_fract_y
_atom_site_fract_z
_atom_site_occupancy
Al1 0.3333 0.6667 0.2500 1
Sn1 0.0000 0.0000 0.0000 1
Ir1 0.3333 0.6667 0.7500 1
O1 0.0113 0.3552 0.1330 1

---

Record 4
# SrAl2IrO6 (PBE-GGA, relaxed)
# **ΔE_f (raw)**: -2132 meV per atom
# **Total moment**: 0.10 μB/atom
data_SrAl2IrO6
_symmetry_space_group_name_H-M 'C 1 2/c 1'
_symmetry_Int_Tables_number 15
_cell_length_a 10.317
_cell_length_b 9.678
_cell_length_c 5.954
_cell_angle_alpha 90.00
_cell_angle_beta 109.89
_cell_angle_gamma 90.00
loop_
_symmetry_equiv_pos_as_xyz
'x,y,z'
'-x,-y,-z'
'-x,y,-z+1/2'
'x,-y,z+1/2'
'x+1/2,y+1/2,z'
'-x+1/2,-y+1/2,-z'
'-x+1/2,y+1/2,-z+1/2'
'x+1/2,-y+1/2,z+1/2'
loop_
_atom_site_label
_atom_site_fract_x
_atom_site_fract_y
_atom_site_fract_z
_atom_site_occupancy
Sr1 0.000 0.102 0.250 1
Al1 0.198 0.424 0.126 1
Ir1 0.000 0.277 0.750 1
O1 0.094 0.280 0.100 1
O2 0.126 0.116 0.716 1
O3 0.154 0.443 0.802 1